## TmFeBi2O6 (PBE+U)

Data for an optimized crystal structure of TmFeBi2O6.

Cell lengths 5.802, 5.802, 5.921 Å; angles 60.67, 60.67, 60.00 degrees
Element x y z (fractional)
Bi: 0.028 0.028 0.917
Bi: 0.527 0.527 0.419
O: 0.464 0.654 0.766
O: 0.594 0.164 0.251
O: 0.117 0.464 0.765
O: 0.164 0.992 0.250
O: 0.991 0.594 0.250
O: 0.654 0.117 0.765
Tm: 0.810 0.810 0.570
Fe: 0.313 0.313 0.060

- V: 142.3 Å³ per cell
- VASP energy: -6.629 eV/atom